Density functional theory data (PBE) for TmScPa2As5 after structural relaxation.

## Properties
Energy of formation   -0.333 eV per atom
Calculated density   7.18 g cm⁻³
E   -56.0 eV/f.u.

abc: 4.880 4.880 10.202
angles: 90.00 90.00 90.00
Fractional positions:
Tm 0.000 0.000 0.000
Sc 0.000 0.000 0.500
Pa 0.500 0.500 0.193
Pa 0.500 0.500 0.807
As 0.000 0.000 0.259
As 0.000 0.000 0.741
As 0.000 0.500 0.000
As 0.500 0.000 0.000
As 0.500 0.500 0.500